The following is a GGA-PBE calculation of an optimized crystal structure of TbPrAgSb, from Alexandria.

Cell and atoms, written as CIF:
```
data_TbPrAgSb
_symmetry_space_group_name_H-M 'F -4 3 m'
_symmetry_Int_Tables_number 216
_symmetry_space_group_name_Hall 'F -4 2 3'
_cell_length_a 7.541
_cell_length_b 7.541
_cell_length_c 7.541
_cell_angle_alpha 90.00
_cell_angle_beta 90.00
_cell_angle_gamma 90.00
loop_
_atom_site_label
_atom_site_type_symbol
_atom_site_fract_x
_atom_site_fract_y
_atom_site_fract_z
_atom_site_occupancy
Tb1 Tb 0.000 0.000 0.000 1
Pr1 Pr 0.000 0.000 0.500 1
Ag1 Ag 0.250 0.250 0.250 1
Sb1 Sb 0.250 0.250 0.750 1
```

Calculated values
The value obtained for the raw formation energy is -0.574 eV per atom. The value obtained for the calculated total energy is -4.67 eV per atom. The value obtained for the density of states at the Fermi level is 4.5 states/eV/f.u. The calculated density is 8201 kg/m3.